# 1
Computed, not measured: crystalline NbAlB3 at its relaxed geometry at the GGA-PBE level of DFT.

Values from the calculation:
ΔH_f (0 K)	1.49	eV/atom

Cell lengths 4.248, 4.248, 4.248 Å; angles 90.00, 90.00, 90.00 degrees
Fractional positions:
B1 0.500 0.000 0.000
B2 0.000 0.000 0.500
B3 0.000 0.500 0.000
Al1 0.500 0.500 0.500
Nb1 0.000 0.000 0.000


# 2
Computed, not measured: crystalline CrFeP at its relaxed geometry at the GGA-PBE level of DFT.

Values from the calculation:
ΔH_f (0 K)	-0.18	eV/atom

Cell lengths 4.773, 4.773, 2.728 Å; angles 73.39, 73.39, 33.21 degrees
Fractional positions:
P1 0.671 0.671 0.329
Cr1 0.012 0.012 0.988
Fe1 0.316 0.316 0.684


# 3
Computed, not measured: crystalline Sb2MoIBr at its relaxed geometry at the GGA-PBE level of DFT.

Values from the calculation:
polymorph energy (0 for the lowest one)	5.97	eV/f.u.
energy relative to the elements, uncorrected	1.51	eV/atom

Cell lengths 5.574, 5.574, 5.593 Å; angles 90.00, 90.00, 90.00 degrees
Fractional positions:
Sb1 0.000 0.500 0.000
Sb2 0.500 0.000 0.000
Br1 0.000 0.000 0.000
Mo1 0.500 0.500 0.500
I1 0.000 0.000 0.500


Number 1: E_tot -5.274 eV per atom, total moment 0.00 μB per cell. Number 2: E_tot -8.008 eV per atom, total moment 0.00 μB per cell. Number 3: E_tot -2.955 eV per atom, total moment 3.25 μB per cell.